6
Lattice="0.0000 3.8138 3.8138 3.8138 0.0000 3.8138 3.8138 3.8138 0.0000" Properties=species:S:1:pos:R:3 comment="GGA-PBE TbPrRh4, optimized geometry" delta_e_f_ev_per_atom=-0.677 e_tot_ev_per_atom=-7.15 magnetic_moment_mub_per_cell=0.0 space_group=F-43m pbc="T T T"
Tb 0.0000 0.0000 0.0000
Pr 5.7207 5.7207 5.7207
Rh 2.8587 2.8587 2.8587
Rh 4.7688 4.7688 2.8587
Rh 4.7688 2.8587 4.7688
Rh 2.8587 4.7688 4.7688


14
Lattice="3.9946 2.3063 6.5278 -3.9946 2.3063 6.5278 0.0000 -4.6126 6.5278" Properties=species:S:1:pos:R:3 comment="GGA-PBE TbY4MgS8, optimized geometry" e_tot_ev_per_atom=-6.57 formation_energy_uncorrected_ev_per_atom=-1.92 magnetic_moment_mub_per_cell=0.0 space_group=R3m pbc="T T T"
Tb 0.0000 0.0000 0.0000
Y 0.0000 2.3560 16.2481
Y 2.0404 -1.1780 16.2481
Y -2.0404 -1.1780 16.2481
Y 0.0000 0.0000 12.1847
Mg 0.0000 0.0000 7.2911
S -2.1297 -1.2296 11.3101
S 0.0000 0.0000 4.7719
S 0.0000 -2.3704 8.1332
S -2.0529 1.1852 8.1332
S 2.1297 -1.2296 11.3101
S 0.0000 2.4592 11.3101
S 0.0000 0.0000 14.7978
S 2.0529 1.1852 8.1332


5
Lattice="3.8457 0.0000 0.0000 0.0000 3.8457 0.0000 0.0000 0.0000 8.1655" Properties=species:S:1:pos:R:3 comment="GGA-PBE AsRhIN2, optimized geometry" e_tot_ev_per_atom=-4.74 relative_energy_mev_per_atom=0 formation_energy_uncorrected_ev_per_atom=1.30 magnetic_moment_mub_per_cell=0.4 space_group=P4/mmm pbc="T T T"
As 0.0000 0.0000 0.0000
Rh 1.9228 1.9228 4.0827
I 1.9228 1.9228 0.0000
N 0.0000 1.9228 4.0827
N 1.9228 0.0000 4.0827


9
Lattice="3.7509 -6.2112 0.0000 3.7509 6.2112 0.0000 -3.0085 0.0000 5.4964" Properties=species:S:1:pos:R:3 comment="GGA-PBE AgPd2Cl6, optimized geometry" e_tot_ev_per_atom=-3.10 relative_energy_mev_per_atom=0 formation_energy_uncorrected_ev_per_atom=-0.40 magnetic_moment_mub_per_cell=0.0 space_group=C2/m pbc="T T T"
Ag 0.0000 0.0000 0.0000
Pd 0.3712 3.1056 2.7482
Pd 0.3712 -3.1056 2.7482
Cl 1.3936 1.7451 1.1646
Cl 2.2466 4.4835 2.7482
Cl 1.3936 -1.7451 1.1646
Cl 3.0997 1.7451 4.3319
Cl 2.2466 -4.4835 2.7482
Cl 3.0997 -1.7451 4.3319


10
Lattice="0.0000 4.2969 4.2969 4.2969 0.0000 4.2969 4.2969 4.2969 0.0000" Properties=species:S:1:pos:R:3 comment="GGA-PBE Rb2UInO6, optimized geometry" e_tot_ev_per_atom=-6.70 formation_energy_uncorrected_ev_per_atom=-2.13 magnetic_moment_mub_per_cell=1.0 space_group=Fm-3m pbc="T T T"
Rb 2.1484 2.1484 2.1484
Rb 6.4453 6.4453 6.4453
U 0.0000 0.0000 0.0000
In 4.2969 4.2969 4.2969
O 4.2969 4.2969 2.0788
O 4.2969 2.0788 4.2969
O 6.5149 4.2969 4.2969
O 2.0788 4.2969 4.2969
O 4.2969 6.5149 4.2969
O 4.2969 4.2969 6.5149


5
Lattice="5.1464 0.0000 0.0000 0.0000 5.1464 0.0000 0.0000 0.0000 4.3205" Properties=species:S:1:pos:R:3 comment="GGA-PBE Zn2AgBrF, optimized geometry" e_tot_ev_per_atom=-2.03 formation_energy_uncorrected_ev_per_atom=-0.24 magnetic_moment_mub_per_cell=0.0 space_group=P4/mmm pbc="T T T"
Zn 0.0000 2.5732 0.0000
Zn 2.5732 0.0000 0.0000
Ag 0.0000 0.0000 0.0000
Br 2.5732 2.5732 2.1602
F 0.0000 0.0000 2.1602


9
Lattice="-3.5488 3.5488 5.6758 3.5488 -3.5488 5.6758 3.5488 3.5488 -5.6758" Properties=species:S:1:pos:R:3 comment="GGA-PBE Sr2SnHg4Pb2, optimized geometry" delta_e_f_ev_per_atom=-0.120 e_tot_ev_per_atom=-1.90 magnetic_moment_mub_per_cell=0.0 space_group=I4/mmm pbc="T T T"
Sr 0.0000 0.0000 2.4770
Sr 0.0000 0.0000 8.8747
Sn 0.0000 0.0000 5.6758
Hg 1.5446 1.5446 0.0000
Hg 2.0042 -2.0042 5.6758
Hg -2.0042 2.0042 5.6758
Hg 2.0042 2.0042 5.6758
Pb 3.5488 0.0000 2.8379
Pb 0.0000 3.5488 2.8379


12
Lattice="7.0200 0.0000 0.0000 0.0000 7.0200 0.0000 0.0000 0.0000 7.0200" Properties=species:S:1:pos:R:3 comment="GGA-PBE SbCl2, optimized geometry" e_tot_ev_per_atom=-2.97 relative_energy_mev_per_atom=343 formation_energy_uncorrected_ev_per_atom=-0.36 magnetic_moment_mub_per_cell=3.1 space_group=Pa-3 pbc="T T T"
Sb 0.0000 0.0000 0.0000
Sb 0.0000 3.5100 3.5100
Sb 3.5100 0.0000 3.5100
Sb 3.5100 3.5100 0.0000
Cl 1.1217 4.6316 5.8983
Cl 1.1217 5.8983 2.3883
Cl 2.3883 1.1217 5.8983
Cl 2.3883 2.3883 2.3883
Cl 4.6316 4.6316 4.6316
Cl 4.6316 5.8983 1.1217
Cl 5.8983 1.1217 4.6316
Cl 5.8983 2.3883 1.1217


5
Lattice="5.7465 0.0000 0.0000 0.0000 5.7465 0.0000 0.0000 0.0000 5.7465" Properties=species:S:1:pos:R:3 comment="GGA-PBE CsY3Ti, optimized geometry" delta_e_f_ev_per_atom=0.672 e_tot_ev_per_atom=-4.96 magnetic_moment_mub_per_cell=1.1 space_group=Pm-3m pbc="T T T"
Cs 0.0000 0.0000 0.0000
Y 0.0000 2.8733 2.8733
Y 2.8733 0.0000 2.8733
Y 2.8733 2.8733 0.0000
Ti 2.8733 2.8733 2.8733


10
Lattice="3.0052 -7.1305 0.0000 3.0052 7.1305 0.0000 0.0000 0.0000 5.4313" Properties=species:S:1:pos:R:3 comment="GGA-PBE MgTlF3, optimized geometry" e_tot_ev_per_atom=-4.61 formation_energy_uncorrected_ev_per_atom=-2.69 magnetic_moment_mub_per_cell=0.0 space_group=Cmcm pbc="T T T"
Mg 3.0052 5.8424 4.0735
Mg 3.0052 -5.8424 1.3578
Tl 3.0052 2.4666 4.0735
Tl 3.0052 -2.4666 1.3578
F 0.0000 0.0000 0.0000
F 0.0000 0.0000 2.7157
F 1.4345 2.5006 1.3578
F 1.4345 -2.5006 4.0735
F 4.5758 2.5006 1.3578
F 4.5758 -2.5006 4.0735


4
Lattice="3.2323 0.0000 0.0000 0.0000 3.2323 0.0000 0.0000 0.0000 5.4976" Properties=species:S:1:pos:R:3 comment="GGA-PBE AlV2Ge, optimized geometry" delta_e_f_ev_per_atom=-0.077 e_tot_ev_per_atom=-6.73 magnetic_moment_mub_per_cell=0.0 space_group=P4/mmm pbc="T T T"
Al 0.0000 0.0000 0.0000
V 1.6162 1.6162 1.5369
V 1.6162 1.6162 3.9607
Ge 0.0000 0.0000 2.7488


12
Lattice="3.3465 -6.1459 0.0000 3.3465 6.1459 0.0000 -2.2271 0.0000 7.0769" Properties=species:S:1:pos:R:3 comment="GGA-PBE Na3NpAg2Se6, optimized geometry" e_tot_ev_per_atom=-4.33 formation_energy_uncorrected_ev_per_atom=-0.70 magnetic_moment_mub_per_cell=1.0 space_group=C2/m pbc="T T T"
Na 0.0000 0.0000 0.0000
Na 3.3465 2.1634 0.0000
Na 3.3465 -2.1634 0.0000
Np 2.2330 0.0000 3.5385
Ag 2.2330 4.2437 3.5385
Ag 2.2330 -4.2437 3.5385
Se 1.0766 1.9677 1.9841
Se 0.1322 0.0000 5.2456
Se 1.0766 -1.9677 1.9841
Se 3.3893 1.9677 5.0929
Se 4.3338 0.0000 1.8314
Se 3.3893 -1.9677 5.0929


Please write out number 5 again, unchanged.
10
Lattice="0.0000 4.2969 4.2969 4.2969 0.0000 4.2969 4.2969 4.2969 0.0000" Properties=species:S:1:pos:R:3 comment="GGA-PBE Rb2UInO6, optimized geometry" e_tot_ev_per_atom=-6.70 formation_energy_uncorrected_ev_per_atom=-2.13 magnetic_moment_mub_per_cell=1.0 space_group=Fm-3m pbc="T T T"
Rb 2.1484 2.1484 2.1484
Rb 6.4453 6.4453 6.4453
U 0.0000 0.0000 0.0000
In 4.2969 4.2969 4.2969
O 4.2969 4.2969 2.0788
O 4.2969 2.0788 4.2969
O 6.5149 4.2969 4.2969
O 2.0788 4.2969 4.2969
O 4.2969 6.5149 4.2969
O 4.2969 4.2969 6.5149